A plane-wave DFT calculation with PBE-GGA was carried out for a geometry-optimized CsZn3Sn structure.

Summary:
The value obtained for the calculated volume is 531.06 Å³ per cell. For the total energy, the calculation gives -1.5789 eV/atom.

Cell lengths 4.033, 33.234, 3.962 Å; angles 90.00, 90.00, 90.00 degrees
Space group Cmmm (No. 65)
Symmetry-distinct sites (fractional):
1 Cs 0.000 0.125 0.000
2 Zn 0.000 0.038 0.500
3 Zn 0.000 0.227 0.000
4 Zn 0.000 0.462 0.000
5 Sn 0.000 0.293 0.500